Arrangement A

# MgCrSCl2

An optimized crystal structure of MgCrSCl2 (PBE-GGA, the Alexandria database).

## Properties
**Spin magnetization**: 4.00 μB per cell
**DOS(E_F)**: 2.98 states/eV per cell

a = 4.692 Å, b = 4.692 Å, c = 5.151 Å
α = 90.00°, β = 90.00°, γ = 90.00°
Element x y z (fractional)
1 Mg 0.000 0.000 0.000
2 Cl 0.000 0.500 0.000
3 Cl 0.500 0.000 0.000
4 Cr 0.500 0.500 0.500
5 S 0.000 0.000 0.500

***

Arrangement B

# MgCrSCl2

An optimized crystal structure of MgCrSCl2 (PBE-GGA, the Alexandria database).

## Properties
**Spin magnetization**: 3.76 μB per cell
**DOS(E_F)**: 1.85 states/eV per cell

a = 4.688 Å, b = 4.920 Å, c = 4.688 Å
α = 90.00°, β = 90.00°, γ = 90.00°
Element x y z (fractional)
1 Cr 0.000 0.000 0.000
2 Cl 0.500 0.000 0.000
3 S 0.000 0.500 0.000
4 Mg 0.500 0.500 0.500
5 Cl 0.000 0.000 0.500

***

Need the numbers? Relative energies in meV/atom: arrangement A 138; arrangement B 0.